Below is a relaxed structure of PuUAgPt, with properties calculated at the PBE-GGA level.

Values from the calculation:
DFT formation energy = -0.315 eV per atom
symmetry = F-43m
DOS at the Fermi energy = 6.6 states/eV/f.u.

Unit cell a=4.8153 b=4.8153 c=4.8153 alpha=60.00 beta=60.00 gamma=60.00
Site moments in Bohr magnetons follow the coordinates.
Positions (direct):
U 0.2500 0.2500 0.2500  1.92
Ag 0.7500 0.7500 0.7500  -0.01
Pt 0.5000 0.5000 0.5000  -0.05
Pu 0.0000 0.0000 0.0000  5.15

---

Below is a relaxed structure of Pr3HgC, with properties calculated at the PBE-GGA level.

Values from the calculation:
DFT formation energy = -0.242 eV per atom
symmetry = Pnma
DOS at the Fermi energy = 5.0 states/eV/f.u.

Unit cell a=3.7992 b=9.0495 c=15.5891 alpha=90.00 beta=90.00 gamma=90.00
Positions (direct):
Pr 0.7500 0.2144 0.3024
Pr 0.2500 0.6755 0.9971
Pr 0.2500 0.0266 0.0978
Pr 0.2500 0.5266 0.4022
Pr 0.2500 0.1755 0.5029
Pr 0.7500 0.4734 0.5978
Pr 0.2500 0.2856 0.8024
Pr 0.7500 0.9734 0.9022
Pr 0.7500 0.3245 0.0029
Pr 0.7500 0.7144 0.1976
Pr 0.7500 0.8245 0.4971
Pr 0.2500 0.7856 0.6976
Hg 0.2500 0.9152 0.3272
Hg 0.7500 0.0848 0.6728
Hg 0.7500 0.5848 0.8272
Hg 0.2500 0.4152 0.1728
C 0.2500 0.6548 0.5538
C 0.7500 0.3452 0.4462
C 0.7500 0.8452 0.0538
C 0.2500 0.1548 0.9462

---

Below is a relaxed structure of KBa2Be, with properties calculated at the PBE-GGA level.

Values from the calculation:
DFT formation energy = 0.641 eV per atom
symmetry = I-4m2
DOS at the Fermi energy = 5.7 states/eV/f.u.

Unit cell a=7.3171 b=7.3171 c=7.3171 alpha=137.50 beta=137.50 gamma=61.68
Site moments in Bohr magnetons follow the coordinates.
Positions (direct):
Be 0.5000 0.5000 0.0000  0.00
K 0.7500 0.2500 0.5000  0.02
Ba 0.0000 0.0000 0.0000  0.10
Ba 0.2500 0.7500 0.5000  0.11

---

Below is a relaxed structure of LaTaW2, with properties calculated at the PBE-GGA level.

Values from the calculation:
DFT formation energy = 0.391 eV per atom
symmetry = Cmm2
DOS at the Fermi energy = 2.8 states/eV/f.u.

Unit cell a=2.9197 b=2.9197 c=10.0460 alpha=90.00 beta=90.00 gamma=113.02
Positions (direct):
La 0.0000 0.0000 0.4897
Ta 0.5000 0.5000 0.7876
W 0.0000 0.0000 0.0074
W 0.5000 0.5000 0.2153

---

Below is a relaxed structure of SmHo2Te, with properties calculated at the PBE-GGA level.

Values from the calculation:
symmetry = Cmcm
DOS at the Fermi energy = 5.4 states/eV/f.u.
formation energy from raw total energies = -0.6519 eV per atom

Unit cell a=3.9597 b=6.3907 c=9.8691 alpha=90.00 beta=90.00 gamma=108.04
Positions (direct):
Sm 0.9449 0.8898 0.2500
Sm 0.0551 0.1102 0.7500
Ho 0.3640 0.7284 0.5352
Ho 0.6360 0.2716 0.4648
Ho 0.3640 0.7284 0.9648
Ho 0.6360 0.2716 0.0352
Te 0.7674 0.5349 0.7500
Te 0.2326 0.4651 0.2500

---

Below is a relaxed structure of SrAs2, with properties calculated at the PBE-GGA level.

Values from the calculation:
DFT formation energy = -0.699 eV per atom
symmetry = Imma
DOS at the Fermi energy = 0.8 states/eV/f.u.

Unit cell a=8.7177 b=8.7177 c=8.7177 alpha=151.94 beta=148.61 gamma=42.60
Positions (direct):
As 0.7188 0.9688 0.7500
As 0.2812 0.0312 0.2500
As 0.5623 0.8123 0.7500
As 0.4377 0.1877 0.2500
Sr 0.1234 0.3734 0.7500
Sr 0.8766 0.6266 0.2500

---

Below is a relaxed structure of LiC3I, with properties calculated at the PBE-GGA level.

Values from the calculation:
symmetry = Pm-3m
DOS at the Fermi energy = 3.9 states/eV/f.u.
formation energy from raw total energies = 3.1513 eV per atom

Unit cell a=4.2307 b=4.2307 c=4.2307 alpha=90.00 beta=90.00 gamma=90.00
Positions (direct):
I 0.0000 0.0000 0.0000
C 0.0000 0.5000 0.0000
C 0.0000 0.0000 0.5000
C 0.5000 0.0000 0.0000
Li 0.5000 0.5000 0.5000

---

Below is a relaxed structure of TlCd2Os, with properties calculated at the PBE-GGA level.

Values from the calculation:
DFT formation energy = 0.633 eV per atom
symmetry = I-4m2
DOS at the Fermi energy = 2.6 states/eV/f.u.

Unit cell a=5.3465 b=5.3465 c=5.3465 alpha=133.90 beta=133.94 gamma=67.21
Site moments in Bohr magnetons follow the coordinates.
Positions (direct):
Tl 0.2500 0.7500 0.5000  0.00
Os 0.4998 0.4998 0.0000  0.10
Cd 0.0001 0.0001 0.0000  0.00
Cd 0.7500 0.2500 0.5000  0.00

---

Below is a relaxed structure of BaBi3, with properties calculated at the PBE-GGA level.

Values from the calculation:
DFT formation energy = -0.383 eV per atom
symmetry = I4/mmm
DOS at the Fermi energy = 2.8 states/eV/f.u.

Unit cell a=4.9953 b=4.9953 c=6.6321 alpha=112.12 beta=112.12 gamma=90.00
Positions (direct):
Bi 0.7500 0.2500 0.5000
Bi 0.2500 0.7500 0.5000
Bi 0.5000 0.5000 0.0000
Ba 0.0000 0.0000 0.0000

---

Below is a relaxed structure of ZrPb, with properties calculated at the PBE-GGA level.

Values from the calculation:
DFT formation energy = -0.092 eV per atom
symmetry = P4/nmm
DOS at the Fermi energy = 1.4 states/eV/f.u.

Unit cell a=4.0046 b=4.0046 c=6.1976 alpha=90.00 beta=90.00 gamma=90.00
Positions (direct):
Pb 0.0000 0.0000 0.9839
Pb 0.5000 0.5000 0.2661
Zr 0.0000 0.0000 0.5016
Zr 0.5000 0.5000 0.7484

---

Below is a relaxed structure of KRuIBr2, with properties calculated at the PBE-GGA level.

Values from the calculation:
symmetry = P4/mmm
DOS at the Fermi energy = 1.5 states/eV/f.u.
formation energy from raw total energies = 0.7720 eV per atom

Unit cell a=5.9821 b=6.5266 c=5.9821 alpha=90.00 beta=90.00 gamma=90.00
Site moments in Bohr magnetons follow the coordinates.
Positions (direct):
I 0.0000 0.0000 0.0000  0.01
Ru 0.5000 0.5000 0.5000  2.96
K 0.0000 0.5000 0.0000  0.00
Br 0.0000 0.0000 0.5000  0.04
Br 0.5000 0.0000 0.0000  0.04

---

Below is a relaxed structure of Ba4WBr, with properties calculated at the PBE-GGA level.

Values from the calculation:
symmetry = F-43m
DOS at the Fermi energy = 8.6 states/eV/f.u.
formation energy from raw total energies = 0.9842 eV per atom

Unit cell a=7.2808 b=7.2808 c=7.2808 alpha=60.00 beta=60.00 gamma=60.00
Site moments in Bohr magnetons follow the coordinates.
Positions (direct):
Ba 0.8767 0.3744 0.3744  -0.12
Ba 0.3744 0.3744 0.8767  -0.12
Ba 0.3744 0.8767 0.3744  -0.12
Ba 0.3744 0.3744 0.3744  -0.12
W 0.0000 0.0000 0.0000  3.00
Br 0.7500 0.7500 0.7500  0.03

---

Below is a relaxed structure of Ho8Te4As3S, with properties calculated at the PBE-GGA level.

Values from the calculation:
symmetry = R-3m
DOS at the Fermi energy = 7.8 states/eV/f.u.
formation energy from raw total energies = -1.5104 eV per atom

Unit cell a=8.2843 b=8.5071 c=8.2846 alpha=119.14 beta=120.00 gamma=90.00
Positions (direct):
Ho 0.2354 0.7124 0.9769
Ho 0.2355 0.7124 0.4710
Ho 0.2611 0.2833 0.5222
Ho 0.7415 0.7124 0.9769
Ho 0.2585 0.2876 0.0231
Ho 0.7389 0.7167 0.4778
Ho 0.7645 0.2876 0.5290
Ho 0.7646 0.2876 0.0231
Te 0.5000 0.0000 0.0000
Te 0.5000 0.0000 0.5000
Te 0.0000 0.0000 0.0000
Te 0.0000 0.0000 0.5000
As 0.5000 0.5000 0.0000
As 0.5000 0.5000 0.5000
As 0.0000 0.5000 0.5000
S 0.0000 0.5000 0.0000

---

Below is a relaxed structure of Ac2SnH, with properties calculated at the PBE-GGA level.

Values from the calculation:
symmetry = P4/mmm
DOS at the Fermi energy = 3.7 states/eV/f.u.

Unit cell a=3.7910 b=3.7910 c=7.9275 alpha=90.00 beta=90.00 gamma=90.00
Positions (direct):
H 0.5000 0.5000 0.0000
Ac 0.0000 0.0000 0.7688
Ac 0.0000 0.0000 0.2312
Sn 0.5000 0.5000 0.5000

---

Below is a relaxed structure of LaRe2P, with properties calculated at the PBE-GGA level.

Values from the calculation:
DFT formation energy = -0.038 eV per atom
symmetry = C2/m
DOS at the Fermi energy = 3.9 states/eV/f.u.

Unit cell a=4.2726 b=4.2726 c=6.0461 alpha=69.39 beta=69.39 gamma=59.98
Positions (direct):
La 0.7500 0.7500 0.7500
P 0.2500 0.2500 0.2500
Re 0.9377 0.9377 0.1867
Re 0.5623 0.5623 0.3133

---

Below is a relaxed structure of LiCa3Nd3S8, with properties calculated at the PBE-GGA level.

Values from the calculation:
symmetry = R-3m
formation energy from raw total energies = -1.9306 eV per atom

Unit cell a=8.0760 b=8.0760 c=8.0705 alpha=120.02 beta=90.00 gamma=120.00
Positions (direct):
Li 0.0000 0.0000 0.5000
Ca 0.0000 0.0000 0.0000
Ca 0.0000 0.5000 0.0000
Ca 0.5000 0.5000 0.0000
Nd 0.5000 0.0000 0.5000
Nd 0.5000 0.5000 0.5000
Nd 0.0000 0.5000 0.5000
S 0.2494 0.4988 0.2482
S 0.7506 0.5012 0.7518
S 0.7580 0.5160 0.2617
S 0.2420 0.4840 0.7383
S 0.7579 0.0037 0.2616
S 0.2421 0.9963 0.7384
S 0.2457 0.0037 0.2616
S 0.7543 0.9963 0.7384

---

Below is a relaxed structure of NdDy2ZrP4, with properties calculated at the PBE-GGA level.

Values from the calculation:
DFT formation energy = -1.508 eV per atom
symmetry = P2/m
DOS at the Fermi energy = 1.5 states/eV/f.u.

Unit cell a=3.9696 b=6.8885 c=6.8686 alpha=109.25 beta=90.00 gamma=90.00
Positions (direct):
Nd 0.5000 0.5000 0.0000
Dy 0.5000 0.0000 0.5000
Dy 0.0000 0.5000 0.5000
Zr 0.0000 0.0000 0.0000
P 0.5000 0.2357 0.2422
P 0.5000 0.7643 0.7578
P 0.0000 0.2370 0.7496
P 0.0000 0.7630 0.2504

---

Below is a relaxed structure of Cd2HRh, with properties calculated at the PBE-GGA level.

Values from the calculation:
symmetry = I-42d
DOS at the Fermi energy = 1.5 states/eV/f.u.

Unit cell a=6.8063 b=6.8063 c=5.4592 alpha=51.44 beta=51.44 gamma=90.00
Positions (direct):
H 0.5000 0.5000 0.0000
H 0.2500 0.7500 0.5000
Rh 0.0000 0.0000 0.0000
Rh 0.7500 0.2500 0.5000
Cd 0.5483 0.1250 0.2500
Cd 0.2017 0.6250 0.2500
Cd 0.3750 0.4517 0.7500
Cd 0.8750 0.7983 0.7500

---

Below is a relaxed structure of Fe4SbRu, with properties calculated at the PBE-GGA level.

Values from the calculation:
symmetry = F-43m
DOS at the Fermi energy = 5.1 states/eV/f.u.
formation energy from raw total energies = 0.1787 eV per atom

Unit cell a=4.8738 b=4.8738 c=4.8738 alpha=60.00 beta=60.00 gamma=60.00
Site moments in Bohr magnetons follow the coordinates.
Positions (direct):
Fe 0.8734 0.3755 0.3755  2.47
Fe 0.3755 0.3755 0.8734  2.47
Fe 0.3755 0.8734 0.3755  2.47
Fe 0.3755 0.3755 0.3755  2.47
Sb 0.0000 0.0000 0.0000  -0.02
Ru 0.7500 0.7500 0.7500  1.14

---

Below is a relaxed structure of NaGeP, with properties calculated at the PBE-GGA level.

Values from the calculation:
DFT formation energy = -0.277 eV per atom
symmetry = P3m1

Unit cell a=3.6601 b=3.6601 c=5.7465 alpha=90.00 beta=90.00 gamma=120.00
Positions (direct):
P 0.6667 0.3333 0.3870
Ge 0.3333 0.6667 0.5934
Na 0.0000 0.0000 0.0195

---

Below is a relaxed structure of HfHgHPb2, with properties calculated at the PBE-GGA level.

Values from the calculation:
symmetry = P4/mmm
DOS at the Fermi energy = 2.4 states/eV/f.u.

Unit cell a=5.0752 b=4.0158 c=5.0752 alpha=90.00 beta=90.00 gamma=90.00
Positions (direct):
Pb 0.0000 0.0000 0.5000
Pb 0.5000 0.0000 0.0000
H 0.0000 0.0000 0.0000
Hf 0.5000 0.5000 0.5000
Hg 0.0000 0.5000 0.0000

---

Below is a relaxed structure of ZnAg3O, with properties calculated at the PBE-GGA level.

Values from the calculation:
symmetry = Pm-3m
DOS at the Fermi energy = 2.0 states/eV/f.u.
formation energy from raw total energies = 0.1572 eV per atom

Unit cell a=4.5078 b=4.5078 c=4.5078 alpha=90.00 beta=90.00 gamma=90.00
Positions (direct):
Zn 0.5000 0.5000 0.5000
O 0.0000 0.0000 0.0000
Ag 0.0000 0.5000 0.0000
Ag 0.0000 0.0000 0.5000
Ag 0.5000 0.0000 0.0000

---

Below is a relaxed structure of P2C, with properties calculated at the PBE-GGA level.

Values from the calculation:
DFT formation energy = 0.995 eV per atom
symmetry = Cmcm
DOS at the Fermi energy = 1.0 states/eV/f.u.

Unit cell a=9.1854 b=9.1854 c=3.2480 alpha=90.00 beta=90.00 gamma=161.52
Positions (direct):
P 0.0463 0.9537 0.7500
P 0.2232 0.7768 0.7500
P 0.7768 0.2232 0.2500
P 0.9537 0.0463 0.2500
C 0.5934 0.4066 0.7500
C 0.4066 0.5934 0.2500

---

Below is a relaxed structure of ErAg2SnS4, with properties calculated at the PBE-GGA level.

Values from the calculation:
symmetry = Imm2
DOS at the Fermi energy = 2.4 states/eV/f.u.
formation energy from raw total energies = -0.7577 eV per atom

Unit cell a=6.9590 b=5.4111 c=6.9588 alpha=112.86 beta=113.05 gamma=112.88
Positions (direct):
S 0.8907 0.0624 0.4217
S 0.1171 0.5629 0.1956
S 0.6388 0.5623 0.6736
S 0.3638 0.0625 0.9487
Sn 0.8751 0.5623 0.4375
Ag 0.6201 0.0624 0.6928
Ag 0.3670 0.5624 0.9452
Er 0.1274 0.0628 0.1849

---

Below is a relaxed structure of FeCo6Ir, with properties calculated at the PBE-GGA level.

Values from the calculation:
DFT formation energy = 0.711 eV per atom
symmetry = R-3m
DOS at the Fermi energy = 10.6 states/eV/f.u.

Unit cell a=4.7242 b=4.7242 c=6.7122 alpha=69.40 beta=69.40 gamma=60.00
Site moments in Bohr magnetons follow the coordinates.
Positions (direct):
Fe 0.5000 0.5000 0.5000  2.88
Co 0.9328 0.9328 0.6851  1.35
Co 0.4493 0.9328 0.6851  1.35
Co 0.0672 0.5507 0.3149  1.35
Co 0.5507 0.0672 0.3149  1.35
Co 0.0672 0.0672 0.3149  1.35
Co 0.9328 0.4493 0.6851  1.35
Ir 0.0000 0.0000 0.0000  0.30

---

Below is a relaxed structure of Cd2InHg6, with properties calculated at the PBE-GGA level.

Values from the calculation:
DFT formation energy = 0.063 eV per atom
symmetry = I-42m
DOS at the Fermi energy = 3.2 states/eV/f.u.

Unit cell a=6.0468 b=6.0468 c=8.2631 alpha=111.46 beta=111.46 gamma=90.00
Positions (direct):
Cd 0.2774 0.2774 0.5548
Cd 0.7226 0.7226 0.4452
In 0.5000 0.5000 0.0000
Hg 0.8996 0.2627 0.1622
Hg 0.7373 0.7373 0.8378
Hg 0.2627 0.8996 0.1622
Hg 0.1004 0.1004 0.8378
Hg 0.7500 0.2500 0.5000
Hg 0.2500 0.7500 0.5000

---

For the records above, the corresponding raw total energy values read -8.943; -5.015; -1.527; -10.280; -4.906; -4.359; -3.076; -3.224; -3.775; -6.220; -2.282; -2.735; -5.714; -4.077; -8.847; -5.613; -7.028; -2.864; -7.696; -4.059; -3.852; -2.800; -5.686; -4.605; -6.784; -0.646 eV per atom.
For the records above, the corresponding theoretical density values read 16.510; 7.873; 3.032; 14.485; 8.501; 4.870; 3.725; 13.189; 9.060; 9.972; 3.035; 4.947; 8.286; 8.362; 10.312; 3.644; 6.409; 9.146; 9.051; 3.153; 12.754; 7.342; 2.828; 6.114; 8.428; 9.912 g/cm³.